(i)
VASP calculation (PBE) on crystalline HfZrPb2 at its relaxed geometry.

Cell lengths 5.1273, 5.1273, 5.1273 Å; angles 60.00, 60.00, 60.00 degrees
Positions (direct):
1 Pb 0.2500 0.2500 0.2500
2 Pb 0.7500 0.7500 0.7500
3 Hf 0.5000 0.5000 0.5000
4 Zr 0.0000 0.0000 0.0000

The space group is Fm-3m. The calculated volume comes out at 23.8 Å³/atom.


(ii)
VASP calculation (PBE) on crystalline HfZrPb2 at its relaxed geometry.

Cell lengths 8.0227, 8.0227, 6.5097 Å; angles 51.96, 51.96, 90.00 degrees
Positions (direct):
1 Zr 0.2500 0.7500 0.5000
2 Zr 0.5000 0.5000 0.0000
3 Pb 0.8750 0.8772 0.7500
4 Pb 0.1228 0.6250 0.2500
5 Pb 0.3750 0.3728 0.7500
6 Pb 0.6272 0.1250 0.2500
7 Hf 0.0000 0.0000 0.0000
8 Hf 0.7500 0.2500 0.5000

The space group is I-42d. The calculated volume comes out at 25.7 Å³/atom.


(iii)
VASP calculation (PBE) on crystalline HfZrPb2 at its relaxed geometry.

Cell lengths 4.3139, 4.7026, 4.7026 Å; angles 90.00, 90.00, 90.00 degrees
Positions (direct):
1 Pb 0.0000 0.0000 0.5000
2 Pb 0.0000 0.5000 0.0000
3 Hf 0.5000 0.5000 0.5000
4 Zr 0.5000 0.0000 0.0000

The space group is P4/mmm. The calculated volume comes out at 23.9 Å³/atom.


(iv)
VASP calculation (PBE) on crystalline HfZrPb2 at its relaxed geometry.

Cell lengths 4.5486, 4.5486, 6.5931 Å; angles 69.82, 69.82, 60.00 degrees
Positions (direct):
1 Hf 0.4936 0.4936 0.5191
2 Zr 0.6715 0.6715 0.9854
3 Pb 0.2534 0.2534 0.2398
4 Pb 0.0814 0.0814 0.7557

The space group is R3m. The calculated volume comes out at 27.1 Å³/atom.


Least stable = (iv)


(i)
VASP calculation (PBE) on crystalline Hf2ZrPb2 at its relaxed geometry.

Cell lengths 8.5417, 8.5417, 3.3171 Å; angles 90.00, 90.00, 90.00 degrees
Positions (direct):
1 Pb 0.8272 0.3272 0.5000
2 Pb 0.1728 0.6728 0.5000
3 Pb 0.6728 0.8272 0.5000
4 Pb 0.3272 0.1728 0.5000
5 Hf 0.1255 0.3745 0.0000
6 Hf 0.8745 0.6255 0.0000
7 Hf 0.6255 0.1255 0.0000
8 Hf 0.3745 0.8745 0.0000
9 Zr 0.5000 0.5000 0.0000
10 Zr 0.0000 0.0000 0.0000

The space group is P4/mbm. The calculated volume comes out at 24.2 Å³/atom.


(ii)
VASP calculation (PBE) on crystalline Hf2ZrPb2 at its relaxed geometry.

Cell lengths 7.7941, 7.7941, 3.8973 Å; angles 90.00, 90.00, 90.00 degrees
Positions (direct):
1 Zr 0.5000 0.5000 0.0000
2 Zr 0.0000 0.0000 0.0000
3 Hf 0.8386 0.3386 0.5000
4 Hf 0.3386 0.1614 0.5000
5 Hf 0.6614 0.8386 0.5000
6 Hf 0.1614 0.6614 0.5000
7 Pb 0.8589 0.6411 0.0000
8 Pb 0.1411 0.3589 0.0000
9 Pb 0.3589 0.8589 0.0000
10 Pb 0.6411 0.1411 0.0000

The space group is P4/mbm. The calculated volume comes out at 23.7 Å³/atom.


Least stable = (i)


(i)
VASP calculation (PBE) on crystalline Hf3ZrPb at its relaxed geometry.

Cell lengths 4.2732, 7.4512, 7.2746 Å; angles 90.51, 90.00, 90.00 degrees
Positions (direct):
1 Hf 0.2500 0.4523 0.3562
2 Hf 0.7500 0.5477 0.6438
3 Hf 0.2500 0.0263 0.1575
4 Hf 0.7500 0.7407 0.2565
5 Hf 0.7500 0.9737 0.8425
6 Hf 0.2500 0.2593 0.7435
7 Pb 0.7500 0.3278 0.0624
8 Pb 0.2500 0.6722 0.9376
9 Zr 0.7500 0.1502 0.4557
10 Zr 0.2500 0.8498 0.5443

The space group is P2_1/m. The calculated volume comes out at 23.2 Å³/atom.


(ii)
VASP calculation (PBE) on crystalline Hf3ZrPb at its relaxed geometry.

Cell lengths 5.2889, 5.2889, 5.2889 Å; angles 90.00, 90.00, 90.00 degrees
Last column: magnetic moment on the atom in μB.
Positions (direct):
1 Hf 0.0000 0.0000 0.5000  0.07
2 Hf 0.5000 0.0000 0.0000  0.12
3 Hf 0.0000 0.5000 0.0000  0.11
4 Zr 0.5000 0.5000 0.5000  0.45
5 Pb 0.0000 0.0000 0.0000  0.01

The space group is Pm-3m. The calculated volume comes out at 29.6 Å³/atom.


Least stable = (ii)


(i)
VASP calculation (PBE) on crystalline Hf2Zr2Pb at its relaxed geometry.

Cell lengths 7.6922, 7.6922, 4.0055 Å; angles 90.00, 90.00, 90.00 degrees
Positions (direct):
1 Zr 0.1668 0.6668 0.5000
2 Zr 0.8332 0.3332 0.5000
3 Zr 0.6668 0.8332 0.5000
4 Zr 0.3332 0.1668 0.5000
5 Hf 0.6317 0.1317 0.0000
6 Hf 0.3683 0.8683 0.0000
7 Hf 0.8683 0.6317 0.0000
8 Hf 0.1317 0.3683 0.0000
9 Pb 0.5000 0.5000 0.0000
10 Pb 0.0000 0.0000 0.0000

The space group is P4/mbm. The calculated volume comes out at 23.7 Å³/atom.


(ii)
VASP calculation (PBE) on crystalline Hf2Zr2Pb at its relaxed geometry.

Cell lengths 7.6541, 7.6541, 4.0785 Å; angles 90.00, 90.00, 90.00 degrees
Positions (direct):
1 Hf 0.6611 0.8389 0.5000
2 Hf 0.3389 0.1611 0.5000
3 Hf 0.1611 0.6611 0.5000
4 Hf 0.8389 0.3389 0.5000
5 Pb 0.0000 0.0000 0.0000
6 Pb 0.5000 0.5000 0.0000
7 Zr 0.1360 0.3640 0.0000
8 Zr 0.6360 0.1360 0.0000
9 Zr 0.3640 0.8640 0.0000
10 Zr 0.8640 0.6360 0.0000

The space group is P4/mbm. The calculated volume comes out at 23.9 Å³/atom.


Least stable = (ii)


(i)
VASP calculation (PBE) on crystalline PmHfPd2 at its relaxed geometry.

Cell lengths 4.8886, 4.8886, 4.8886 Å; angles 60.00, 60.00, 60.00 degrees
Positions (direct):
1 Pm 0.5000 0.5000 0.5000
2 Pd 0.7500 0.7500 0.7500
3 Pd 0.2500 0.2500 0.2500
4 Hf 0.0000 0.0000 0.0000

The space group is Fm-3m. The calculated volume comes out at 20.7 Å³/atom.


(ii)
VASP calculation (PBE) on crystalline PmHfPd2 at its relaxed geometry.

Cell lengths 4.6124, 4.6124, 5.4787 Å; angles 65.11, 65.11, 60.00 degrees
Positions (direct):
1 Pd 0.2859 0.2859 0.1422
2 Pd 0.7141 0.7141 0.8578
3 Pm 0.5000 0.5000 0.5000
4 Hf 0.0000 0.0000 0.0000

The space group is R-3m. The calculated volume comes out at 22.1 Å³/atom.


Least stable = (i)


(i)
VASP calculation (PBE) on crystalline PrHfPd at its relaxed geometry.

Cell lengths 3.4592, 3.4592, 6.5160 Å; angles 105.39, 105.39, 90.00 degrees
Positions (direct):
1 Pr 0.0034 0.0034 0.0067
2 Pd 0.6975 0.6975 0.3949
3 Hf 0.2992 0.2992 0.5983

The space group is I4mm. The calculated volume comes out at 24.1 Å³/atom.


(ii)
VASP calculation (PBE) on crystalline PrHfPd at its relaxed geometry.

Cell lengths 3.5969, 3.5904, 13.4441 Å; angles 90.00, 90.00, 120.06 degrees
Positions (direct):
1 Hf 0.2772 0.5544 0.1309
2 Hf 0.2772 0.5544 0.8691
3 Pr 0.6116 0.2232 0.3345
4 Pr 0.6116 0.2232 0.6655
5 Pd 0.6110 0.2220 0.0000
6 Pd 0.2780 0.5559 0.5000

The space group is Amm2. The calculated volume comes out at 25.0 Å³/atom.


Least stable = (ii)


(i)
VASP calculation (PBE) on crystalline HfPdPt6 at its relaxed geometry.

Cell lengths 4.8343, 4.8343, 7.1498 Å; angles 74.62, 74.62, 66.99 degrees
Positions (direct):
1 Pt 0.5420 0.0565 0.3046
2 Pt 0.4580 0.9435 0.6954
3 Pt 0.3504 0.3504 0.9496
4 Pt 0.6496 0.6496 0.0504
5 Pt 0.0565 0.5420 0.3046
6 Pt 0.9435 0.4580 0.6954
7 Hf 0.5000 0.5000 0.5000
8 Pd 0.0000 0.0000 0.0000

The space group is C2/m. The calculated volume comes out at 18.2 Å³/atom.


(ii)
VASP calculation (PBE) on crystalline HfPdPt6 at its relaxed geometry.

Cell lengths 3.9713, 5.6700, 5.6700 Å; angles 90.00, 90.00, 90.00 degrees
Positions (direct):
1 Pd 0.5000 0.5000 0.5000
2 Pt 0.0000 0.7503 0.2497
3 Pt 0.0000 0.2498 0.2498
4 Pt 0.0000 0.2497 0.7503
5 Pt 0.5000 0.5000 0.0000
6 Pt 0.0000 0.7502 0.7502
7 Pt 0.5000 0.0000 0.5000
8 Hf 0.5000 0.0000 0.0000

The space group is P4/mmm. The calculated volume comes out at 16.0 Å³/atom.


Least stable = (i)


(i)
VASP calculation (PBE) on crystalline HfPd5Pt at its relaxed geometry.

Cell lengths 9.0927, 5.0577, 5.8242 Å; angles 115.73, 141.31, 90.00 degrees
Positions (direct):
1 Pd 0.3653 0.7531 0.0000
2 Pd 0.8474 0.7556 0.5113
3 Pd 0.3361 0.2444 0.4887
4 Pd 0.1052 0.5000 0.0000
5 Pd 0.3653 0.2469 0.0000
6 Pt 0.6775 0.0000 0.0000
7 Hf 0.8338 0.5000 0.0000

The space group is Imm2. The calculated volume comes out at 17.2 Å³/atom.


(ii)
VASP calculation (PBE) on crystalline HfPd5Pt at its relaxed geometry.

Cell lengths 5.1323, 7.6193, 7.0175 Å; angles 122.88, 95.72, 90.00 degrees
Positions (direct):
1 Pd 0.0039 0.4080 0.1260
2 Pd 0.5039 0.2181 0.1260
3 Pd 0.6567 0.0470 0.7103
4 Pd 0.7500 0.6130 0.5000
5 Pd 0.3433 0.9530 0.2897
6 Pd 0.8433 0.8367 0.2897
7 Pd 0.1567 0.1633 0.7103
8 Pd 0.9961 0.5920 0.8740
9 Pd 0.4961 0.7819 0.8740
10 Pd 0.2500 0.3870 0.5000
11 Pt 0.0000 0.0000 0.0000
12 Pt 0.5000 0.5000 0.0000
13 Hf 0.2500 0.7487 0.5000
14 Hf 0.7500 0.2513 0.5000

The space group is C2/c. The calculated volume comes out at 16.3 Å³/atom.


Least stable = (i)


(i)
VASP calculation (PBE) on crystalline HfPdPt3 at its relaxed geometry.

Cell lengths 4.8466, 6.6274, 6.6274 Å; angles 120.00, 90.00, 90.00 degrees
Positions (direct):
1 Pt 0.7500 0.2017 0.7983
2 Pt 0.7500 0.5967 0.7982
3 Pt 0.2500 0.7983 0.2017
4 Pt 0.2500 0.4033 0.2018
5 Pt 0.2500 0.7982 0.5967
6 Pt 0.7500 0.2018 0.4033
7 Pd 0.0000 0.0000 0.0000
8 Pd 0.5000 0.0000 0.0000
9 Hf 0.7500 0.6665 0.3335
10 Hf 0.2500 0.3335 0.6665

The space group is P6_3/mmc. The calculated volume comes out at 18.4 Å³/atom.


(ii)
VASP calculation (PBE) on crystalline HfPdPt3 at its relaxed geometry.

Cell lengths 4.7681, 4.7681, 4.7681 Å; angles 90.00, 90.00, 90.00 degrees
Positions (direct):
1 Pt 0.0000 0.0000 0.5000
2 Pt 0.0000 0.5000 0.0000
3 Pt 0.5000 0.0000 0.0000
4 Hf 0.5000 0.5000 0.5000
5 Pd 0.0000 0.0000 0.0000

The space group is Pm-3m. The calculated volume comes out at 21.7 Å³/atom.


(iii)
VASP calculation (PBE) on crystalline HfPdPt3 at its relaxed geometry.

Cell lengths 3.9582, 5.7108, 8.5552 Å; angles 119.02, 103.38, 90.00 degrees
Positions (direct):
1 Pt 0.6001 0.1453 0.2001
2 Pt 0.8012 0.9502 0.6025
3 Pt 0.9985 0.7438 0.9971
4 Pt 0.1988 0.0498 0.3975
5 Pt 0.0015 0.2562 0.0029
6 Pt 0.3999 0.8547 0.7999
7 Pd 0.1985 0.5452 0.3971
8 Pd 0.8015 0.4548 0.6029
9 Hf 0.3911 0.3387 0.7821
10 Hf 0.6089 0.6613 0.2179

The space group is C2/m. The calculated volume comes out at 16.3 Å³/atom.


(iv)
VASP calculation (PBE) on crystalline HfPdPt3 at its relaxed geometry.

Cell lengths 4.8680, 4.8680, 4.8680 Å; angles 90.00, 90.00, 90.00 degrees
Positions (direct):
1 Pt 0.0000 0.0000 0.5000
2 Pt 0.5000 0.0000 0.0000
3 Pt 0.0000 0.5000 0.0000
4 Pd 0.5000 0.5000 0.5000
5 Hf 0.0000 0.0000 0.0000

The space group is Pm-3m. The calculated volume comes out at 23.1 Å³/atom.


Least stable = (ii)


(i)
VASP calculation (PBE) on crystalline HfPd2Pt2 at its relaxed geometry.

Cell lengths 4.4444, 4.4444, 10.4319 Å; angles 90.00, 90.00, 120.00 degrees
Positions (direct):
1 Hf 0.0000 0.0000 0.2500
2 Hf 0.0000 0.0000 0.7500
3 Pt 0.0000 0.0000 0.0000
4 Pt 0.6667 0.3333 0.7500
5 Pt 0.0000 0.0000 0.5000
6 Pt 0.3333 0.6667 0.2500
7 Pd 0.6667 0.3333 0.3955
8 Pd 0.3333 0.6667 0.8955
9 Pd 0.3333 0.6667 0.6045
10 Pd 0.6667 0.3333 0.1045

The space group is P6_3/mmc. The calculated volume comes out at 17.8 Å³/atom.


(ii)
VASP calculation (PBE) on crystalline HfPd2Pt2 at its relaxed geometry.

Cell lengths 5.0150, 5.0150, 5.1944 Å; angles 118.86, 118.86, 90.00 degrees
Positions (direct):
1 Hf 0.0000 0.0000 0.0000
2 Pd 0.3376 0.3376 0.6751
3 Pd 0.6624 0.6624 0.3249
4 Pt 0.7500 0.2500 0.5000
5 Pt 0.2500 0.7500 0.5000

The space group is I4/mmm. The calculated volume comes out at 19.1 Å³/atom.


Least stable = (ii)